(1)
Compound: YInCl2
Source: Alexandria via LeMat-Bulk
Functional: SCAN
Structure: PBEsol geometry

Cell lengths 3.293, 3.293, 9.206 Å; angles 90.00, 90.00, 90.00 degrees
Element x y z (fractional)
Cl  0.000  0.000  0.331
In  0.500  0.500  0.000
Y  0.500  0.500  0.500
Cl  0.000  0.000  0.669

## Properties
Offset from the most stable computed form: 0 meV/atom
Formation energy from raw total energies: -1.42 eV per atom
Space-group type: P4/mmm, No. 123

(2)
Compound: SiP3O
Source: Alexandria via LeMat-Bulk
Functional: SCAN
Structure: PBEsol geometry

Cell lengths 4.091, 4.091, 4.091 Å; angles 90.00, 90.00, 90.00 degrees
Element x y z (fractional)
O  0.000  0.000  0.000
Si  0.500  0.500  0.500
P  0.000  0.000  0.500
P  0.500  0.000  0.000
P  0.000  0.500  0.000

## Properties
Formation energy from raw total energies: 0.80 eV per atom
Space-group type: Pm-3m, No. 221

(3)
Compound: TeBrO2
Source: Alexandria via LeMat-Bulk
Functional: SCAN
Structure: PBEsol geometry

Cell lengths 3.358, 3.358, 9.524 Å; angles 79.85, 79.85, 60.00 degrees
Each line ends with the local moment (μB).
Element x y z (fractional)
O  0.870  0.870  0.390  0.00
O  0.130  0.130  0.610  0.00
Br  0.000  0.000  0.000  0.35
Te  0.500  0.500  0.500  0.00

## Properties
Offset from the most stable computed form: 0 meV/atom
Formation energy from raw total energies: -0.21 eV per atom
Space-group type: R-3m, No. 166

(4)
Compound: TaAuS2N
Source: Alexandria via LeMat-Bulk
Functional: SCAN
Structure: PBEsol geometry

Cell lengths 3.754, 4.777, 4.777 Å; angles 90.00, 90.00, 90.00 degrees
Each line ends with the local moment (μB).
Element x y z (fractional)
Au  0.000  0.000  0.000  -0.13
S  0.000  0.500  0.000  -0.10
Ta  0.500  0.500  0.500  1.68
N  0.500  0.000  0.000  -0.81
S  0.000  0.000  0.500  -0.10

## Properties
Formation energy from raw total energies: 1.33 eV per atom
Space-group type: P4/mmm, No. 123

Q: What is the formula in the fourth record?
A: TaAuS2N

Q: Among the records above, which one has the lowest formation energy from raw total energies?
A: YInCl2

Q: What is the formula in the first record?
A: YInCl2

Q: Which value of formation energy from raw total energies does entry 3 give?
A: -0.21 eV per atom